Entry 1:
## LaPm2Sm7 (PBE)

Data for a relaxed LaPm2Sm7 crystal.

Values from the calculation:
The value obtained for the final energy is -47.01 eV for the cell shown. For the energy above the most stable polymorph in this dataset, the calculation gives 0.0000 eV/atom. Its total magnetization is 0.00 μB per atom. The energy of formation from the pure elements is 0.45 eV per formula unit.

a = 9.6867 Å, b = 9.6867 Å, c = 9.6867 Å
α = 146.29°, β = 136.80°, γ = 55.89°
Last column: nearest neighbours and their distance in Å.
Fractional coordinates of all 10 atoms:
La1 0.0000 0.0000 0.0000  12 Sm 3.43-3.80
Pm1 0.3008 0.8008 0.5000  9 Sm 3.29-3.68
Pm2 0.6992 0.1992 0.5000  9 Sm 3.29-3.68
Sm1 0.1433 0.3925 0.7508  8 Sm 3.55-3.80, 3 Pm 3.68-3.76, 2 La 3.80
Sm2 0.2003 0.2003 0.0000  4 Pm 3.29-3.57, 1 La 3.43
Sm3 0.3583 0.6075 0.7508  8 Sm 3.55-3.80, 3 Pm 3.68-3.76, 2 La 3.80
Sm4 0.5000 0.0000 0.5000  2 Pm 3.41, 2 La 3.57, 8 Sm 3.80
Sm5 0.6417 0.3925 0.2492  8 Sm 3.55-3.80, 3 Pm 3.68-3.76, 2 La 3.80
Sm6 0.7997 0.7997 0.0000  4 Pm 3.29-3.57, 1 La 3.43
Sm7 0.8567 0.6075 0.2492  8 Sm 3.55-3.80, 3 Pm 3.68-3.76, 2 La 3.80

=====

Entry 2:
## Pr6HoIn5 (PBE)

Data for a relaxed Pr6HoIn5 crystal.

Values from the calculation:
The value obtained for the final energy is -51.64 eV for the cell shown. Its total magnetization is 0.00 μB per atom. The energy of formation from the pure elements is -4.70 eV per formula unit.

a = 9.3264 Å, b = 9.3264 Å, c = 9.3264 Å
α = 148.27°, β = 120.94°, γ = 68.61°
Last column: nearest neighbours and their distance in Å.
Fractional coordinates of all 12 atoms:
Pr1 0.0688 0.3292 0.7396  7 In 3.37-3.51, 4 Pr 3.54-3.66, 1 Ho 3.56
Pr2 0.2343 0.0000 0.2343  6 In 3.34-3.42, 2 Ho 3.53, 4 Pr 3.66
Pr3 0.4104 0.6708 0.7396  7 In 3.37-3.51, 4 Pr 3.54-3.66, 1 Ho 3.56
Pr4 0.5896 0.3292 0.2604  7 In 3.37-3.51, 4 Pr 3.54-3.66, 1 Ho 3.56
Pr5 0.7657 0.0000 0.7657  6 In 3.34-3.42, 2 Ho 3.53, 4 Pr 3.66
Pr6 0.9312 0.6708 0.2604  7 In 3.37-3.51, 4 Pr 3.54-3.66, 1 Ho 3.56
Ho1 0.5000 0.5000 0.0000  4 In 3.47, 8 Pr 3.53-3.56
In1 0.0000 0.5000 0.5000  8 Pr 3.34-3.43, 4 In 3.68
In2 0.1721 0.1721 0.0000  8 Pr 3.37-3.42, 4 In 3.68-3.72
In3 0.3475 0.8475 0.5000  8 Pr 3.39-3.51, 2 Ho 3.47, 2 In 3.72
In4 0.6525 0.1525 0.5000  8 Pr 3.39-3.51, 2 Ho 3.47, 2 In 3.72
In5 0.8279 0.8279 0.0000  8 Pr 3.37-3.42, 4 In 3.68-3.72

=====

Entry 3:
## Nb2VPd8 (PBE)

Data for a relaxed Nb2VPd8 crystal.

Values from the calculation:
The value obtained for the final energy is -71.65 eV for the cell shown. Its total magnetization is 0.14 μB per atom. The energy of formation from the pure elements is -0.85 eV per formula unit.

a = 7.2329 Å, b = 7.2329 Å, c = 4.5747 Å
α = 102.24°, β = 102.24°, γ = 122.23°
Last column: nearest neighbours and their distance in Å.
Fractional coordinates of all 11 atoms:
Nb1 0.1938 0.8062 0.0000  8 Pd 2.55-2.80
Nb2 0.8062 0.1938 0.0000  8 Pd 2.55-2.80
V1 0.5000 0.5000 0.5000  4 Pd 2.46-2.61
Pd1 0.1121 0.1121 0.3105  1 V 2.46, 3 Pd 2.57-2.72
Pd2 0.1766 0.4004 0.8739  2 Nb 2.55-2.80, 4 Pd 2.66-2.85
Pd3 0.2938 0.7062 0.5000  1 V 2.61, 2 Nb 2.62, 2 Pd 2.85
Pd4 0.4004 0.1766 0.8739  2 Nb 2.55-2.80, 4 Pd 2.66-2.85
Pd5 0.5996 0.8234 0.1261  2 Nb 2.55-2.80, 4 Pd 2.66-2.85
Pd6 0.7062 0.2938 0.5000  1 V 2.61, 2 Nb 2.62, 2 Pd 2.85
Pd7 0.8234 0.5996 0.1261  2 Nb 2.55-2.80, 4 Pd 2.66-2.85
Pd8 0.8879 0.8879 0.6895  1 V 2.46, 3 Pd 2.57-2.72

=====

Entry 4:
## InAg2Ru (PBE)

Data for a relaxed InAg2Ru crystal.

Values from the calculation:
The value obtained for the final energy is -16.41 eV for the cell shown. Its total magnetization is 0.22 μB per atom. The energy of formation from the pure elements is 1.31 eV per formula unit.

a = 5.1834 Å, b = 5.1834 Å, c = 2.9027 Å
α = 90.00°, β = 90.00°, γ = 114.53°
Last column: nearest neighbours and their distance in Å.
Fractional coordinates of all 4 atoms:
In1 0.0000 0.0000 0.0000  2 Ru 2.80, 2 In 2.90, 8 Ag 2.97
Ag1 0.0000 0.5000 0.5000  4 Ag 2.80-2.90, 4 In 2.97, 4 Ru 2.97
Ag2 0.5000 0.0000 0.5000  4 Ag 2.80-2.90, 4 In 2.97, 4 Ru 2.97
Ru1 0.5000 0.5000 0.0000  2 In 2.80, 2 Ru 2.90, 8 Ag 2.97

=====

Entry 5:
## Ho5Tl4Ag (PBE)

Data for a relaxed Ho5Tl4Ag crystal.

Values from the calculation:
The value obtained for the final energy is -38.60 eV for the cell shown. Its total magnetization is 0.00 μB per atom. The energy of formation from the pure elements is -3.39 eV per formula unit.

a = 3.6114 Å, b = 3.6114 Å, c = 20.2211 Å
α = 90.00°, β = 90.00°, γ = 90.00°
Last column: nearest neighbours and their distance in Å.
Fractional coordinates of all 10 atoms:
Ho1 0.0000 0.0000 0.0000  8 Tl 3.29, 4 Ho 3.61
Ho2 0.0000 0.0000 0.2062  8 Tl 3.29-3.30, 4 Ho 3.61
Ho3 0.0000 0.0000 0.4108  4 Ag 3.13, 4 Tl 3.29
Ho4 0.0000 0.0000 0.5892  4 Ag 3.13, 4 Tl 3.29
Ho5 0.0000 0.0000 0.7938  8 Tl 3.29-3.30, 4 Ho 3.61
Tl1 0.5000 0.5000 0.1029  8 Ho 3.29-3.30, 4 Tl 3.61
Tl2 0.5000 0.5000 0.3086  8 Ho 3.29, 4 Tl 3.61
Tl3 0.5000 0.5000 0.6914  8 Ho 3.29, 4 Tl 3.61
Tl4 0.5000 0.5000 0.8971  8 Ho 3.29-3.30, 4 Tl 3.61
Ag1 0.5000 0.5000 0.5000  8 Ho 3.13

=====

Entry 6:
## CaYFe2 (PBE)

Data for a relaxed CaYFe2 crystal.

Values from the calculation:
The value obtained for the final energy is -23.16 eV for the cell shown. Its total magnetization is 1.10 μB per atom. The energy of formation from the pure elements is 2.23 eV per formula unit.

a = 4.8018 Å, b = 4.8018 Å, c = 4.8018 Å
α = 60.00°, β = 60.00°, γ = 60.00°
Last column: nearest neighbours and their distance in Å.
Fractional coordinates of all 4 atoms:
Ca1 0.0000 0.0000 0.0000  4 Fe 2.94, 4 Y 2.94
Y1 0.2500 0.2500 0.2500  4 Fe 2.94, 4 Ca 2.94
Fe1 0.5000 0.5000 0.5000  4 Fe 2.94, 4 Y 2.94
Fe2 0.7500 0.7500 0.7500  4 Fe 2.94, 4 Ca 2.94

=====

Entry 7:
## P3RhCl (PBE)

Data for a relaxed P3RhCl crystal.

Values from the calculation:
The value obtained for the final energy is -21.90 eV for the cell shown. For the energy above the most stable polymorph in this dataset, the calculation gives 0.0000 eV/atom. Its total magnetization is 0.27 μB per atom.

a = 4.6552 Å, b = 4.6552 Å, c = 4.6552 Å
α = 90.00°, β = 90.00°, γ = 90.00°
Last column: nearest neighbours and their distance in Å.
Fractional coordinates of all 5 atoms:
P1 0.0000 0.0000 0.5000  2 Rh 2.33
P2 0.0000 0.5000 0.0000  2 Rh 2.33
P3 0.5000 0.0000 0.0000  2 Rh 2.33
Rh1 0.0000 0.0000 0.0000  6 P 2.33
Cl1 0.5000 0.5000 0.5000  12 P 3.29

=====

Entry 8:
## Pr2Cu3As4Ir (PBE)

Data for a relaxed Pr2Cu3As4Ir crystal.

Values from the calculation:
The value obtained for the final energy is -55.17 eV for the cell shown. Its total magnetization is 0.00 μB per atom. The energy of formation from the pure elements is -5.87 eV per formula unit.

a = 4.3287 Å, b = 4.3287 Å, c = 9.9001 Å
α = 90.00°, β = 90.00°, γ = 90.00°
Last column: nearest neighbours and their distance in Å.
Fractional coordinates of all 10 atoms:
Pr1 0.0000 0.5000 0.2453  2 Ir 3.25, 6 Cu 3.25-3.32, 8 As 3.26-3.32
Pr2 0.5000 0.0000 0.7547  2 Ir 3.25, 6 Cu 3.25-3.32, 8 As 3.26-3.32
Cu1 0.0000 0.0000 0.0000  4 As 2.52
Cu2 0.0000 0.5000 0.6260  5 As 2.41-2.50
Cu3 0.5000 0.0000 0.3740  5 As 2.41-2.50
As1 0.0000 0.0000 0.5000  4 Cu 2.50
As2 0.0000 0.5000 0.8692  3 Cu 2.41-2.52, 2 Ir 2.52
As3 0.5000 0.0000 0.1308  3 Cu 2.41-2.52, 2 Ir 2.52
As4 0.5000 0.5000 0.5000  4 Cu 2.50
Ir1 0.5000 0.5000 0.0000  4 As 2.52

=====

- Which of these has the highest total magnetization?
  CaYFe2